[1]
This record from the Alexandria database describes crystalline NbI2Cl at its relaxed geometry. The functional is PBE.

Values from the calculation:
Excess energy over the best structure of this formula in the dataset, meV/atom: 0
DOS(E_F), states/eV/cell: 3.2
Formation energy (no corrections), meV per atom: -511

Lattice parameters (Å, degrees): 3.4915 7.1063 7.6444 112.16 100.41 103.40
With the nearest neighbours (Å) after each atom.
Sites, in units of the cell vectors:
Nb (0.0000, 0.0000, 0.0000)  2 Cl 2.55, 4 I 2.83
I (0.2461, 0.6964, 0.7203)  2 Nb 2.83
I (0.5946, 0.9652, 0.2808)  2 Nb 2.83
Cl (0.6263, 0.2681, 0.9992)  2 Nb 2.55


[2]
This record from the Alexandria database describes crystalline Nb2ICl4 at its relaxed geometry. The functional is PBE.

Values from the calculation:
DOS(E_F), states/eV/cell: 3.3
Formation energy (no corrections), meV per atom: -891

Lattice parameters (Å, degrees): 6.6394 7.0985 8.8666 105.70 100.53 95.77
With the nearest neighbours (Å) after each atom.
Sites, in units of the cell vectors:
Nb (0.0000, 0.0000, 0.0000)  5 Cl 2.42-2.54
Nb (0.0015, 0.9581, 0.3245)  5 Cl 2.43-2.62
Nb (0.0895, 0.6915, 0.5344)  4 Cl 2.49-2.71, 1 Nb 2.66
Nb (0.3142, 0.9126, 0.8187)  4 Cl 2.48-2.71, 1 Nb 2.66
I (0.1977, 0.6299, 0.2359)  2 Nb 2.78-2.80
I (0.4547, 0.5578, 0.6683)  2 Nb 2.85-2.87
Cl (0.0164, 0.6699, 0.8204)  3 Nb 2.48-2.71
Cl (0.2089, 0.2418, 0.9132)  2 Nb 2.47-2.48
Cl (0.2776, 0.1353, 0.2364)  2 Nb 2.42-2.48
Cl (0.2936, 0.0313, 0.5755)  3 Nb 2.51-2.56
Cl (0.6975, 0.1215, 0.8700)  2 Nb 2.48-2.71
Cl (0.7095, 0.8368, 0.0948)  2 Nb 2.43-2.54
Cl (0.7697, 0.8408, 0.4828)  2 Nb 2.49
Cl (0.9101, 0.3130, 0.4348)  2 Nb 2.62-2.67


[3]
This record from the Alexandria database describes crystalline NbI2Cl at its relaxed geometry. The functional is PBE.

Values from the calculation:
Excess energy over the best structure of this formula in the dataset, meV/atom: 655
DOS(E_F), states/eV/cell: 0.0
Formation energy (no corrections), meV per atom: 144

Lattice parameters (Å, degrees): 5.1873 5.1873 5.1873 60.00 60.00 60.00
With the nearest neighbours (Å) after each atom.
Sites, in units of the cell vectors:
Nb (0.0000, 0.0000, 0.0000)  8 I 3.18
I (0.2500, 0.2500, 0.2500)  4 Nb 3.18, 4 Cl 3.18
I (0.7500, 0.7500, 0.7500)  4 Cl 3.18, 4 Nb 3.18
Cl (0.5000, 0.5000, 0.5000)  8 I 3.18


[4]
This record from the Alexandria database describes crystalline NbICl2 at its relaxed geometry. The functional is PBE.

Values from the calculation:
Excess energy over the best structure of this formula in the dataset, meV/atom: 1279
DOS(E_F), states/eV/cell: 3.9
Formation energy (no corrections), meV per atom: 356

Lattice parameters (Å, degrees): 5.0488 5.0488 5.0488 60.00 60.00 60.00
With the nearest neighbours (Å) after each atom.
Sites, in units of the cell vectors:
Nb (0.0000, 0.0000, 0.0000)  8 Cl 3.09
I (0.5000, 0.5000, 0.5000)  8 Cl 3.09
Cl (0.2500, 0.2500, 0.2500)  4 I 3.09, 4 Nb 3.09
Cl (0.7500, 0.7500, 0.7500)  4 I 3.09, 4 Nb 3.09


[5]
This record from the Alexandria database describes crystalline NbI3Cl at its relaxed geometry. The functional is PBE.

Values from the calculation:
Excess energy over the best structure of this formula in the dataset, meV/atom: 0
DOS(E_F), states/eV/cell: 4.1
Formation energy (no corrections), meV per atom: -610

Lattice parameters (Å, degrees): 7.3019 7.3019 7.6355 90.00 90.00 78.40
With the nearest neighbours (Å) after each atom.
Sites, in units of the cell vectors:
Nb (0.0040, 0.9960, 0.7500)  1 Cl 2.34
Nb (0.9960, 0.0040, 0.2500)  1 Cl 2.34
I (0.1879, 0.1879, 0.0000)  2 Nb 2.86
I (0.1879, 0.1879, 0.5000)  2 Nb 2.86
I (0.2981, 0.7019, 0.7500)  1 Nb 2.72
I (0.7019, 0.2981, 0.2500)  1 Nb 2.72
I (0.8121, 0.8121, 0.0000)  2 Nb 2.86
I (0.8121, 0.8121, 0.5000)  2 Nb 2.86
Cl (0.2498, 0.7502, 0.2500)  1 Nb 2.34
Cl (0.7502, 0.2498, 0.7500)  1 Nb 2.34


[6]
This record from the Alexandria database describes crystalline NbI3Cl at its relaxed geometry. The functional is PBE.

Values from the calculation:
Excess energy over the best structure of this formula in the dataset, meV/atom: 105
DOS(E_F), states/eV/cell: 11.2
Formation energy (no corrections), meV per atom: -505

Lattice parameters (Å, degrees): 8.8556 3.5029 25.0655 90.00 90.00 90.00
With the nearest neighbours (Å) after each atom.
Sites, in units of the cell vectors:
Nb (0.2254, 0.2500, 0.1157)  2 Cl 2.58, 3 I 2.85-2.86
Nb (0.2746, 0.7500, 0.6157)  2 Cl 2.58, 3 I 2.85-2.86
Nb (0.7254, 0.2500, 0.3843)  2 Cl 2.58, 3 I 2.85-2.86
Nb (0.7746, 0.7500, 0.8843)  2 Cl 2.58, 3 I 2.85-2.86
I (0.0271, 0.2500, 0.9109)  2 Nb 2.92
I (0.0372, 0.2500, 0.3554)  1 Nb 2.85
I (0.1997, 0.7500, 0.2052)  2 Nb 2.86
I (0.3003, 0.2500, 0.7052)  2 Nb 2.86
I (0.4628, 0.7500, 0.8554)  1 Nb 2.85
I (0.4729, 0.7500, 0.4109)  2 Nb 2.92
I (0.5271, 0.2500, 0.5891)  2 Nb 2.92
I (0.5372, 0.2500, 0.1446)  1 Nb 2.85
I (0.6997, 0.7500, 0.2948)  2 Nb 2.86
I (0.8003, 0.2500, 0.7948)  2 Nb 2.86
I (0.9628, 0.7500, 0.6446)  1 Nb 2.85
I (0.9729, 0.7500, 0.0891)  2 Nb 2.92
Cl (0.1758, 0.2500, 0.5488)  2 Nb 2.58
Cl (0.3242, 0.7500, 0.0488)  2 Nb 2.58
Cl (0.6758, 0.2500, 0.9512)  2 Nb 2.58
Cl (0.8242, 0.7500, 0.4512)  2 Nb 2.58


> Among the records above, which one has the lowest DOS(E_F)?

number 3


> What is the formula in the second record?

Nb2ICl4


> What is the formula in the fifth record?

NbI3Cl